The following is a GGA-PBE calculation of crystalline Hf2Al3C5 at its relaxed geometry, from OQMD via LeMat-Bulk.

Calculated values
total DFT energy (no corrections)	-7.857	eV/atom

Cell lengths 3.2225, 3.2225, 24.1784 Å; angles 90.00, 90.00, 120.00 degrees
Last column: nearest neighbours and their distance in Å.
Space group P6_3/mmc (No. 194)
Asymmetric unit:
1 Hf 0.3333 0.6667 0.0564 x4  6 C 2.30-2.31
2 Al 0.0000 0.0000 0.1544 x4  3 C 2.12
3 Al 0.3333 0.6667 0.7500 x2  6 C 2.03
4 C 0.0000 0.0000 0.0000 x2  6 Hf 2.31
5 C 0.3333 0.6667 0.2159 x4  1 C 1.65
6 C 0.3333 0.6667 0.6125 x4  3 Al 2.12, 3 Hf 2.30